#A
# Re3W10 (PBE, optimized geometry)
# Calculated density: 18.7 g/cm3
# Symmetry: No. 166
data_Re3W10
_symmetry_space_group_name_H-M 'P 1'
_symmetry_Int_Tables_number 1
_cell_length_a 9.7373
_cell_length_b 9.7373
_cell_length_c 9.7373
_cell_angle_alpha 30.67
_cell_angle_beta 30.67
_cell_angle_gamma 30.67
loop_
_symmetry_equiv_pos_as_xyz
'x,y,z'
loop_
_atom_site_label
_atom_site_type_symbol
_atom_site_fract_x
_atom_site_fract_y
_atom_site_fract_z
_atom_site_occupancy
Re1 Re 0.0000 0.0000 0.0000 1
Re2 Re 0.4558 0.4558 0.4558 1
Re3 Re 0.5442 0.5442 0.5442 1
W1 W 0.0889 0.0889 0.5859 1
W2 W 0.0889 0.5859 0.0889 1
W3 W 0.1668 0.1668 0.1668 1
W4 W 0.3456 0.3456 0.3456 1
W5 W 0.4141 0.9111 0.9111 1
W6 W 0.5859 0.0889 0.0889 1
W7 W 0.6544 0.6544 0.6544 1
W8 W 0.8332 0.8332 0.8332 1
W9 W 0.9111 0.4141 0.9111 1
W10 W 0.9111 0.9111 0.4141 1

***

#B
# Re3W10 (PBE, optimized geometry)
# Calculated density: 18.7 g/cm3
# Symmetry: No. 166
data_Re3W10
_symmetry_space_group_name_H-M 'P 1'
_symmetry_Int_Tables_number 1
_cell_length_a 9.6636
_cell_length_b 9.6636
_cell_length_c 9.6636
_cell_angle_alpha 31.05
_cell_angle_beta 31.05
_cell_angle_gamma 31.05
loop_
_symmetry_equiv_pos_as_xyz
'x,y,z'
loop_
_atom_site_label
_atom_site_type_symbol
_atom_site_fract_x
_atom_site_fract_y
_atom_site_fract_z
_atom_site_occupancy
Re1 Re 0.0000 0.0000 0.0000 1
Re2 Re 0.1666 0.1666 0.1666 1
Re3 Re 0.8334 0.8334 0.8334 1
W1 W 0.0891 0.0891 0.5854 1
W2 W 0.0891 0.5854 0.0891 1
W3 W 0.3484 0.3484 0.3484 1
W4 W 0.4146 0.9109 0.9109 1
W5 W 0.4535 0.4535 0.4535 1
W6 W 0.5465 0.5465 0.5465 1
W7 W 0.5854 0.0891 0.0891 1
W8 W 0.6516 0.6516 0.6516 1
W9 W 0.9109 0.4146 0.9109 1
W10 W 0.9109 0.9109 0.4146 1

***

#C
# Re3W10 (PBE, optimized geometry)
# Calculated density: 18.6 g/cm3
# Symmetry: No. 166
data_Re3W10
_symmetry_space_group_name_H-M 'P 1'
_symmetry_Int_Tables_number 1
_cell_length_a 9.7652
_cell_length_b 9.7652
_cell_length_c 9.7652
_cell_angle_alpha 30.56
_cell_angle_beta 30.56
_cell_angle_gamma 30.56
loop_
_symmetry_equiv_pos_as_xyz
'x,y,z'
loop_
_atom_site_label
_atom_site_type_symbol
_atom_site_fract_x
_atom_site_fract_y
_atom_site_fract_z
_atom_site_occupancy
Re1 Re 0.0000 0.0000 0.0000 1
Re2 Re 0.3497 0.3497 0.3497 1
Re3 Re 0.6503 0.6503 0.6503 1
W1 W 0.0913 0.0913 0.5872 1
W2 W 0.0913 0.5872 0.0913 1
W3 W 0.1674 0.1674 0.1674 1
W4 W 0.4128 0.9087 0.9087 1
W5 W 0.4551 0.4551 0.4551 1
W6 W 0.5449 0.5449 0.5449 1
W7 W 0.5872 0.0913 0.0913 1
W8 W 0.8326 0.8326 0.8326 1
W9 W 0.9087 0.4128 0.9087 1
W10 W 0.9087 0.9087 0.4128 1

***

Quick one: most stable of them? #A